[1]
{
  "formula": "Tb3Si4Au",
  "functional": "GGA-PBE",
  "state": "optimized geometry",
  "cell": [[-2.129, 2.872, 7.381], [2.129, -2.872, 7.381], [2.129, 2.872, -7.381]],
  "species": ["Tb", "Tb", "Tb", "Si", "Si", "Si", "Si", "Au"],
  "fractional_positions": [[0.000, 0.000, 0.000], [0.308, 0.808, 0.500], [0.692, 0.192, 0.500], [0.080, 0.377, 0.704], [0.327, 0.623, 0.704], [0.673, 0.377, 0.296], [0.920, 0.623, 0.296], [0.500, 0.500, 0.000]],
  "e_form_raw_ev_per_atom": -0.5868
}


[2]
{
  "formula": "PmEr2Pd2",
  "functional": "GGA-PBE",
  "state": "optimized geometry",
  "cell": [[4.262, -2.463, 0.000], [4.262, 2.463, 0.000], [-0.009, 0.000, 6.082]],
  "species": ["Pm", "Er", "Er", "Pd", "Pd"],
  "fractional_positions": [[0.000, 0.000, 0.000], [0.333, 0.333, 0.663], [0.667, 0.667, 0.337], [0.333, 0.333, 0.191], [0.667, 0.667, 0.809]],
  "formation_energy_ev_per_fu": -3.22,
  "de_polymorph_ev_per_fu": 0.32
}


[3]
{
  "formula": "YCoTe",
  "functional": "GGA-PBE",
  "state": "optimized geometry",
  "cell": [[4.249, 0.000, 0.000], [-2.125, 3.680, 0.000], [0.000, 0.000, 4.028]],
  "species": ["Y", "Co", "Te"],
  "fractional_positions": [[0.000, 0.000, 0.000], [0.667, 0.333, 0.449], [0.333, 0.667, 0.498]],
  "e_form_raw_ev_per_atom": -0.6963
}


[4]
{
  "formula": "Eu2PdO",
  "functional": "GGA-PBE",
  "state": "optimized geometry",
  "cell": [[1.868, 1.079, 7.022], [-1.868, 1.079, 7.022], [0.000, -2.157, 7.022]],
  "species": ["Eu", "Eu", "Pd", "O"],
  "fractional_positions": [[0.235, 0.235, 0.235], [0.765, 0.765, 0.765], [0.000, 0.000, 0.000], [0.500, 0.500, 0.500]],
  "e_form_raw_ev_per_atom": -1.5250,
  "de_polymorph_ev_per_fu": 0.00
}